(1)
{"formula": "Ta2ReAs", "functional": "PBEsol", "state": "optimized geometry", "lattice_angstrom": [[-2.754, 0.920, -1.593], [-2.284, -2.585, 2.456], [-0.606, 3.390, 3.004]], "species": ["Re", "Ta", "As", "Ta"], "fractional_positions": [[0.000, 0.500, 0.500], [0.000, 0.000, 0.000], [0.500, 0.500, 0.000], [0.500, 0.000, 0.500]]}


(2)
{"formula": "TaReAs", "functional": "PBEsol", "state": "optimized geometry", "polymorph_energy_mev_per_atom": 0, "lattice_angstrom": [[3.014, 0.000, 0.000], [0.000, 3.014, 0.000], [-1.507, -1.507, 5.103]], "species": ["Ta", "As", "Re"], "fractional_positions": [[0.335, 0.335, 0.670], [0.015, 0.015, 0.030], [0.650, 0.650, 0.300]]}


(3)
{"formula": "Ta2ReAs", "functional": "PBEsol", "state": "optimized geometry", "lattice_angstrom": [[-4.087, -0.470, -0.480], [2.698, -3.601, -1.574], [0.103, -3.362, 2.418]], "species": ["Re", "As", "Ta", "Ta"], "fractional_positions": [[0.000, 0.000, 0.000], [0.500, 0.000, 0.500], [0.250, 0.500, 0.250], [0.750, 0.500, 0.750]]}


(4)
{"formula": "Ta2ReAs", "functional": "PBEsol", "state": "optimized geometry", "lattice_angstrom": [[-2.482, 1.928, -0.247], [-1.456, -1.344, 4.143], [2.714, 3.604, 0.855]], "species": ["Ta", "Ta", "As", "Re"], "fractional_positions": [[0.000, 0.500, 0.000], [0.000, 0.000, 0.500], [0.500, 0.500, 0.500], [0.500, 0.000, 0.000]]}


(5)
{"formula": "Ta2ReAs", "functional": "PBEsol", "state": "optimized geometry", "lattice_angstrom": [[3.240, 0.000, 0.000], [0.000, 4.464, 0.000], [0.000, 0.000, 4.464]], "species": ["Re", "Ta", "Ta", "As"], "fractional_positions": [[0.500, 0.000, 0.000], [0.000, 0.500, 0.000], [0.000, 0.000, 0.500], [0.500, 0.500, 0.500]]}


(6)
{"formula": "ReTc2As", "functional": "PBEsol", "state": "optimized geometry", "lattice_angstrom": [[-1.550, -1.769, 1.750], [-0.958, -1.478, -2.343], [5.120, -4.037, 0.453]], "species": ["Tc", "Re", "As", "Tc"], "fractional_positions": [[0.000, 0.000, 0.764], [0.500, 0.500, 0.500], [0.500, 0.500, 0.000], [0.000, 0.000, 0.236]]}


(7)
{"formula": "ReTcAs", "functional": "PBEsol", "state": "optimized geometry", "polymorph_energy_mev_per_atom": 0, "lattice_angstrom": [[-2.069, 1.677, 0.918], [-1.994, -3.346, 1.615], [2.774, 2.137, 2.349]], "species": ["Tc", "Re", "As"], "fractional_positions": [[0.334, 0.667, 0.333], [0.833, 0.333, 0.667], [0.833, 0.000, 0.000]]}


(8)
{"formula": "ReTcAs", "functional": "PBEsol", "state": "optimized geometry", "polymorph_energy_mev_per_atom": 500, "lattice_angstrom": [[4.072, 0.000, 0.000], [2.036, 3.527, 0.000], [2.036, 1.176, 3.325]], "species": ["As", "Re", "Tc"], "fractional_positions": [[0.750, 0.750, 0.750], [0.000, 0.000, 0.000], [0.500, 0.500, 0.500]]}


| no. | DFT total energy (eV per cell) |
| --- | --- |
| 1 | -43.54 |
| 2 | -30.98 |
| 3 | -43.32 |
| 4 | -43.93 |
| 5 | -43.52 |
| 6 | -41.20 |
| 7 | -29.35 |
| 8 | -27.85 |